## Tb2DySc3 (PBE)

Data for an optimized crystal structure of Tb2DySc3.

Structure (POSCAR):
```
Tb2DySc3
1.0
3.441 0.000 0.000
0.000 5.821 -1.286
0.000 1.595 16.462
Tb Dy Sc
4 2 6
Direct
0.250 0.750 0.500
0.750 0.250 0.500
0.750 0.028 0.833
0.250 0.972 0.167
0.250 0.528 0.833
0.750 0.472 0.167
0.750 0.639 0.667
0.250 0.361 0.333
0.750 0.861 0.333
0.250 0.139 0.667
0.250 0.251 0.000
0.750 0.749 0.000
```

Excess energy over the best structure of this formula in the dataset = 0.00 eV/f.u.
Total DFT energy (no corrections) = -32.50 eV/f.u.
Energy of formation from the pure elements = 60 meV per atom